# Ba3Mn2NiO6, relaxed, DFT PBE+U
data_Ba3Mn2NiO6
_chemical_formula_sum 'Ba3 Mn2 Ni1 O6'
_space_group_name_H-M_alt 'P 1'
_space_group_IT_number 1
_cell_length_a 6.019
_cell_length_b 6.019
_cell_length_c 6.811
_cell_angle_alpha 90.00
_cell_angle_beta 90.00
_cell_angle_gamma 120.00
loop_
_space_group_symop_operation_xyz
'x,y,z'
loop_
_atom_site_label
_atom_site_fract_x
_atom_site_fract_y
_atom_site_fract_z
Ba1 0.000 0.000 0.000
Ba2 0.333 0.667 0.638
Ba3 0.667 0.333 0.362
Mn1 0.333 0.667 0.189
Mn2 0.667 0.333 0.811
Ni1 0.000 0.000 0.500
O1 0.164 0.328 0.309
O2 0.164 0.836 0.309
O3 0.328 0.164 0.691
O4 0.672 0.836 0.309
O5 0.836 0.164 0.691
O6 0.836 0.672 0.691
# * crystal system: trigonal
# * magnetic moment: 12.0 μB/f.u.
# * DFT total energy: -6.15 eV per atom